## LaHo7Tm3 (PBE)

Data for a geometry-optimized LaHo7Tm3 structure.

For the formation enthalpy at 0 K, the calculation gives 156 kJ/mol of formula units. The offset from the most stable computed form comes out at 0 meV/atom. The value obtained for the density of states at the Fermi level is 17.1 states/eV per cell.

The space group is P2/m (No. 10) and the conventional cell measures 6.901, 5.525 and 9.798 Å, with angles of 90.00, 108.75 and 90.00 degrees. The distinct sites, in fractional coordinates, are La at (0.000, 0.000, 0.000), Ho at (0.000, 0.000, 0.500), Ho at (0.148, 0.500, 0.789), Ho at (0.329, 0.500, 0.143), Ho at (0.431, 0.000, 0.333), Tm at (0.274, 0.500, 0.494) and Tm at (0.500, 0.000, 0.000).

## LaHo2Tm (PBE)

Data for a geometry-optimized LaHo2Tm structure.

For the formation enthalpy at 0 K, the calculation gives 9 kJ/mol of formula units. The offset from the most stable computed form comes out at 16 meV/atom. The value obtained for the density of states at the Fermi level is 13.3 states/eV per cell.

The space group is Imm2 (No. 44) and the conventional cell measures 3.664, 11.422 and 6.234 Å, with angles of 90.00, 90.00 and 90.00 degrees. The distinct sites, in fractional coordinates, are La at (0.000, 0.000, 0.000), Ho at (0.000, 0.246, 0.654) and Tm at (0.000, 0.500, 0.993).